## Dy6Zn5Ir (PBE)

Data for a geometry-optimized Dy6Zn5Ir structure.

Unit cell a=5.003 b=7.088 c=7.909 alpha=90.00 beta=71.56 gamma=90.00
Fractional positions:
Zn: 0.669 0.500 0.662
Zn: 0.324 0.000 0.352
Zn: 0.000 0.500 0.000
Zn: 0.676 0.000 0.648
Zn: 0.331 0.500 0.338
Ir: 0.000 0.000 0.000
Dy: 0.839 0.754 0.322
Dy: 0.839 0.246 0.322
Dy: 0.500 0.240 0.000
Dy: 0.500 0.760 0.000
Dy: 0.161 0.754 0.678
Dy: 0.161 0.246 0.678

The calculation puts the formation enthalpy at 0 K at -0.463 eV per atom. The total moment comes out at 0.0 μB/f.u. As for the calculated total energy: -4.03 eV/atom.